VASP calculation (GGA-PBE) on an optimized crystal structure of LiCu3.

Unit cell a=4.4615 b=4.4663 c=5.0959 alpha=72.56 beta=89.74 gamma=80.32
With the nearest neighbours (Å) after each atom.
Atoms (fractional coordinates):
Cu 0.3744 0.2419 0.0643  9 Cu 2.52-2.64, 3 Li 2.55-2.57
Cu 0.1309 0.7448 0.1835  4 Li 2.51-2.63, 8 Cu 2.54-2.61
Cu 0.6221 0.7490 0.4369  8 Cu 2.52-2.61, 4 Li 2.55-2.60
Cu 0.3779 0.2510 0.5631  8 Cu 2.52-2.61, 4 Li 2.55-2.60
Cu 0.8691 0.2552 0.8165  4 Li 2.51-2.63, 8 Cu 2.54-2.61
Cu 0.6256 0.7581 0.9357  9 Cu 2.52-2.64, 3 Li 2.55-2.57
Li 0.8725 0.2556 0.3098  11 Cu 2.51-2.63, 1 Li 2.60
Li 0.1275 0.7444 0.6902  11 Cu 2.51-2.63, 1 Li 2.60

Properties
DFT total energy ... -3.30 eV per atom
SG ... No. 2
Volume ... 11.923 Å³ per atom